SnTeHRh2 (PBE, optimized geometry); space group = P4/mmm
1.0
4.325 0.000 0.000
0.000 4.325 0.000
0.000 0.000 4.169
Sn Te H Rh
1 1 1 2
Direct
0.000 0.000 0.000
0.500 0.500 0.000
0.000 0.000 0.500
0.000 0.500 0.500
0.500 0.000 0.500


PuTl2Cl2F4 (PBE, optimized geometry); space group = I4/mmm; raw formation energy = -20.6 eV per formula unit
1.0
-3.364 3.364 5.033
3.364 -3.364 5.033
3.364 3.364 -5.033
Pu Tl Cl F
1 2 2 4
Direct
0.000 0.000 0.000
0.250 0.750 0.500
0.750 0.250 0.500
0.266 0.266 0.000
0.734 0.734 0.000
0.222 0.222 0.444
0.222 0.778 0.000
0.778 0.222 0.000
0.778 0.778 0.556


Sr2Li5Cd4 (PBE, optimized geometry); space group = Fmmm; formation energy = -0.20 eV per atom
1.0
0.000 5.110 8.826
3.092 0.000 8.826
3.092 5.110 0.000
Sr Li Cd
2 5 4
Direct
0.142 0.142 0.858
0.858 0.858 0.142
0.000 0.000 0.500
0.250 0.250 0.250
0.500 0.500 0.000
0.500 0.500 0.500
0.750 0.750 0.750
0.214 0.526 0.474
0.474 0.786 0.214
0.526 0.214 0.786
0.786 0.474 0.526


SiTcNiRh (PBE, optimized geometry); space group = Pm; raw formation energy = -1.1 eV per formula unit
1.0
4.412 0.000 0.000
0.000 2.720 0.000
-0.740 0.000 4.373
Si Tc Ni Rh
1 1 1 1
Direct
0.000 0.000 0.000
0.479 0.000 0.362
0.562 0.500 0.881
0.005 0.500 0.535


no.,D(E_F) (states/eV/cell),total magnetic moment (μB/cell),electronic total energy (eV/atom)
1,4.67,0.0,-4.786
2,2.15,4.0,-5.646
3,5.02,0.0,-1.711
4,2.63,0.0,-7.501